Compound: AcGdIn2
Source: Alexandria via LeMat-Bulk
Functional: PBE
Structure: relaxed

```
data_AcGdIn2
_cell_length_a 3.8850
_cell_length_b 3.8850
_cell_length_c 30.4075
_cell_angle_alpha 90.00
_cell_angle_beta 90.00
_cell_angle_gamma 120.00
_space_group_name_H-M_alt 'R -3 m'
_space_group_IT_number 166
_space_group_name_Hall '-R 3 2"'
loop_
_atom_site_label
_atom_site_type_symbol
_atom_site_fract_x
_atom_site_fract_y
_atom_site_fract_z
Ac1 Ac 0.0000 0.0000 0.0000
Gd1 Gd 0.0000 0.0000 0.5000
In1 In 0.0000 0.0000 0.2446
```

- Uncorrected energy: -6.1800 eV per atom
- Density: 7.69 g/cm³
- Volume: 33.1 A^3/atom
- Formation enthalpy at 0 K: -0.26 eV per atom

=====

Compound: BeAuI3
Source: Alexandria via LeMat-Bulk
Functional: PBE
Structure: relaxed

```
data_BeAuI3
_cell_length_a 5.2796
_cell_length_b 5.2796
_cell_length_c 5.2796
_cell_angle_alpha 90.00
_cell_angle_beta 90.00
_cell_angle_gamma 90.00
_space_group_name_H-M_alt 'P m -3 m'
_space_group_IT_number 221
_space_group_name_Hall '-P 4 2 3'
loop_
_atom_site_label
_atom_site_type_symbol
_atom_site_fract_x
_atom_site_fract_y
_atom_site_fract_z
Be1 Be 0.0000 0.0000 0.0000
Au1 Au 0.5000 0.5000 0.5000
I1 I 0.0000 0.0000 0.5000
```

- Uncorrected energy: -1.9158 eV per atom
- Density: 6.62 g/cm³
- Volume: 29.4 A^3/atom
- Offset from the most stable computed form: 0.0 meV/atom

=====

Compound: ThTe2I4
Source: Alexandria via LeMat-Bulk
Functional: PBE
Structure: relaxed

```
data_ThTe2I4
_cell_length_a 4.6729
_cell_length_b 7.3722
_cell_length_c 11.9329
_cell_angle_alpha 76.15
_cell_angle_beta 78.93
_cell_angle_gamma 89.87
_space_group_name_H-M_alt 'P -1'
_space_group_IT_number 2
loop_
_space_group_symop_operation_xyz
'x,y,z'
'-x,-y,-z'
loop_
_atom_site_label
_atom_site_type_symbol
_atom_site_fract_x
_atom_site_fract_y
_atom_site_fract_z
Th1 Th 0.0000 0.0000 0.0000
Te1 Te 0.2507 0.8998 0.4992
I1 I 0.1034 0.3165 0.7868
I2 I 0.4454 0.1932 0.1097
```

- Uncorrected energy: -3.5864 eV per atom
- Density: 4.22 g/cm³
- Volume: 55.9 A^3/atom